DFT (PBE) results for a relaxed structure of ZnRuRh2.

Cell and atoms, written as CIF:
```
data_ZnRuRh2
_cell_length_a 2.7003
_cell_length_b 2.7003
_cell_length_c 8.9730
_cell_angle_alpha 90.00
_cell_angle_beta 90.00
_cell_angle_gamma 119.01
_symmetry_space_group_name_H-M 'P 1'
_symmetry_Int_Tables_number 1
_symmetry_space_group_name_Hall 'P 1'
loop_
_atom_site_label
_atom_site_fract_x
_atom_site_fract_y
_atom_site_fract_z
_atom_site_occupancy
Zn1 0.0000 0.0000 0.0000 1
Ru1 0.0000 0.0000 0.5000 1
Rh1 0.5000 0.5000 0.2449 1
Rh2 0.5000 0.5000 0.7551 1
```

Calculated values
Its calculated volume is 57 Å³ per cell. For the energy of formation, the calculation gives 0.4 eV/f.u.



DFT (PBE) results for a relaxed structure of ZnRuRh2.

Cell and atoms, written as CIF:
```
data_ZnRuRh2
_cell_length_a 5.5184
_cell_length_b 5.5184
_cell_length_c 5.5184
_cell_angle_alpha 103.60
_cell_angle_beta 103.60
_cell_angle_gamma 121.98
_symmetry_space_group_name_H-M 'P 1'
_symmetry_Int_Tables_number 1
_symmetry_space_group_name_Hall 'P 1'
loop_
_atom_site_label
_atom_site_fract_x
_atom_site_fract_y
_atom_site_fract_z
_atom_site_occupancy
Zn1 0.0000 0.0000 0.0000 1
Zn2 0.7500 0.2500 0.5000 1
Ru1 0.2500 0.7500 0.5000 1
Ru2 0.5000 0.5000 0.0000 1
Rh1 0.1322 0.1250 0.5072 1
Rh2 0.3750 0.8678 0.9928 1
Rh3 0.6178 0.6250 0.4928 1
Rh4 0.8750 0.3822 0.0072 1
```

Calculated values
Its calculated volume is 125 Å³ per cell. For the energy of formation, the calculation gives 1.9 eV/f.u.



DFT (PBE) results for a relaxed structure of ZnRuRh2.

Cell and atoms, written as CIF:
```
data_ZnRuRh2
_cell_length_a 2.7495
_cell_length_b 2.7495
_cell_length_c 7.4319
_cell_angle_alpha 90.00
_cell_angle_beta 90.00
_cell_angle_gamma 90.00
_symmetry_space_group_name_H-M 'P 1'
_symmetry_Int_Tables_number 1
_symmetry_space_group_name_Hall 'P 1'
loop_
_atom_site_label
_atom_site_fract_x
_atom_site_fract_y
_atom_site_fract_z
_atom_site_occupancy
Zn1 0.0000 0.0000 0.0000 1
Ru1 0.5000 0.5000 0.7455 1
Rh1 0.0000 0.0000 0.5046 1
Rh2 0.5000 0.5000 0.2442 1
```

Calculated values
Its calculated volume is 56 Å³ per cell. For the energy of formation, the calculation gives -0.1 eV/f.u.



DFT (PBE) results for a relaxed structure of ZnRuRh2.

Cell and atoms, written as CIF:
```
data_ZnRuRh2
_cell_length_a 4.7546
_cell_length_b 2.6828
_cell_length_c 4.7601
_cell_angle_alpha 90.00
_cell_angle_beta 111.95
_cell_angle_gamma 90.00
_symmetry_space_group_name_H-M 'P 1'
_symmetry_Int_Tables_number 1
_symmetry_space_group_name_Hall 'P 1'
loop_
_atom_site_label
_atom_site_fract_x
_atom_site_fract_y
_atom_site_fract_z
_atom_site_occupancy
Zn1 0.0000 0.0000 0.0000 1
Ru1 0.0000 0.5000 0.5000 1
Rh1 0.5000 0.0000 0.5000 1
Rh2 0.5000 0.5000 0.0000 1
```

Calculated values
Its calculated volume is 56 Å³ per cell. For the energy of formation, the calculation gives 0.0 eV/f.u.